First-principles (GGA-PBEsol) data for a relaxed structure of Zn2SiW, as listed in Alexandria via LeMat-Bulk.

a b c (Å): 2.6577 2.6577 8.3082
angles (deg): 90.00 90.00 90.00
With the nearest neighbours (Å) after each atom.
Positions (direct):
Si  0.5000  0.5000  0.0000  4 Si 2.66, 8 Zn 2.82
W  0.5000  0.5000  0.5000  4 W 2.66, 8 Zn 2.78
Zn  0.0000  0.0000  0.7466  4 Zn 2.66, 4 W 2.78, 4 Si 2.82
Zn  0.0000  0.0000  0.2534  4 Zn 2.66, 4 W 2.78, 4 Si 2.82

## Properties
Formation energy (no corrections) = 0.314 eV/atom
Uncorrected energy = -5.37 eV/atom
Size of the total moment = 0.00 μB/f.u.
Density of states at the Fermi level = 2.062 states/eV/f.u.
SG = P4/mmm, No. 123

First-principles (GGA-PBEsol) data for a relaxed structure of Cr2CoRe, as listed in Alexandria via LeMat-Bulk.

a b c (Å): 3.5972 3.5972 4.4454
angles (deg): 113.87 113.87 90.00
With the nearest neighbours (Å) after each atom.
Positions (direct):
Co  0.2500  0.7500  0.5000  8 Cr 2.54-2.56, 4 Re 2.56
Cr  0.0000  0.0000  0.0000  4 Re 2.54, 4 Cr 2.56, 4 Co 2.56
Cr  0.7500  0.2500  0.5000  4 Co 2.54, 4 Cr 2.56, 4 Re 2.56
Re  0.5000  0.5000  0.0000  8 Cr 2.54-2.56, 4 Co 2.56

## Properties
Uncorrected energy = -10.27 eV/atom
Size of the total moment = 0.03 μB/f.u.
Formation energy = 118.8 meV/atom
Density of states at the Fermi level = 5.192 states/eV/f.u.
SG = I-4m2, No. 119

First-principles (GGA-PBEsol) data for a relaxed structure of SrNi2Te2, as listed in Alexandria via LeMat-Bulk.

a b c (Å): 4.1791 4.1791 6.8325
angles (deg): 107.81 107.81 90.00
With the nearest neighbours (Å) after each atom.
Positions (direct):
Sr  0.0000  0.0000  0.0000  8 Te 3.41, 8 Ni 3.72
Te  0.3614  0.3614  0.7227  4 Ni 2.50
Te  0.6386  0.6386  0.2773  4 Ni 2.50
Ni  0.2500  0.7500  0.5000  4 Te 2.50
Ni  0.7500  0.2500  0.5000  4 Te 2.50

## Properties
Formation energy (no corrections) = -0.608 eV/atom
Uncorrected energy = -4.85 eV/atom
Size of the total moment = 0.00 μB/f.u.
Density of states at the Fermi level = 2.970 states/eV/f.u.
SG = I4/mmm, No. 139

First-principles (GGA-PBEsol) data for a relaxed structure of AlTlPb3, as listed in Alexandria via LeMat-Bulk.

a b c (Å): 5.7406 5.7406 5.7406
angles (deg): 90.00 90.00 90.00
With the nearest neighbours (Å) after each atom.
Positions (direct):
Pb  0.0000  0.5000  0.0000  2 Tl 2.87
Pb  0.0000  0.0000  0.5000  2 Tl 2.87
Pb  0.5000  0.0000  0.0000  2 Tl 2.87
Tl  0.0000  0.0000  0.0000  6 Pb 2.87
Al  0.5000  0.5000  0.5000  12 Pb 4.06

## Properties
Uncorrected energy = -2.89 eV/atom
Size of the total moment = 0.00 μB/f.u.
Formation energy = 851.1 meV/atom
Density of states at the Fermi level = 3.404 states/eV/f.u.
SG = Pm-3m, No. 221

First-principles (GGA-PBEsol) data for a relaxed structure of BeAl2Mo, as listed in Alexandria via LeMat-Bulk.

a b c (Å): 3.2297 3.2297 5.3196
angles (deg): 90.00 90.00 90.00
With the nearest neighbours (Å) after each atom.
Positions (direct):
Be  0.0000  0.0000  0.5179  5 Al 2.45-2.66, 4 Mo 2.57
Mo  0.5000  0.5000  0.7401  6 Al 2.54-2.78, 4 Be 2.57
Al  0.0000  0.0000  0.9788  1 Be 2.45, 4 Mo 2.61, 4 Al 2.74
Al  0.5000  0.5000  0.2632  2 Mo 2.54-2.78, 4 Be 2.66, 4 Al 2.74

## Properties
Uncorrected energy = -5.94 eV/atom
Size of the total moment = 0.00 μB/f.u.
Formation energy = 44.4 meV/atom
Density of states at the Fermi level = 2.617 states/eV/f.u.
SG = P4mm, No. 99

First-principles (GGA-PBEsol) data for a relaxed structure of LiAsC3, as listed in Alexandria via LeMat-Bulk.

a b c (Å): 3.6917 3.6917 3.6917
angles (deg): 90.00 90.00 90.00
With the nearest neighbours (Å) after each atom.
Positions (direct):
As  0.5000  0.5000  0.5000  12 C 2.61
C  0.0000  0.5000  0.0000  2 Li 1.85
C  0.0000  0.0000  0.5000  2 Li 1.85
C  0.5000  0.0000  0.0000  2 Li 1.85
Li  0.0000  0.0000  0.0000  6 C 1.85

## Properties
Uncorrected energy = -4.32 eV/atom
Size of the total moment = 0.00 μB/f.u.
Formation energy = 2884.9 meV/atom
Density of states at the Fermi level = 2.061 states/eV/f.u.
SG = Pm-3m, No. 221

First-principles (GGA-PBEsol) data for a relaxed structure of CaFe2Ag, as listed in Alexandria via LeMat-Bulk.

a b c (Å): 3.4190 3.4190 6.1992
angles (deg): 90.00 90.00 90.00
With the nearest neighbours (Å) after each atom.
Positions (direct):
Ag  0.5000  0.5000  0.0000  8 Fe 2.66
Ca  0.5000  0.5000  0.5000  2 Ag 3.10, 8 Fe 3.14, 4 Ca 3.42
Fe  0.0000  0.0000  0.8230  1 Fe 2.19
Fe  0.0000  0.0000  0.1770  1 Fe 2.19

## Properties
Uncorrected energy = -5.24 eV/atom
Size of the total moment = 5.28 μB/f.u.
Formation energy = 602.8 meV/atom
Density of states at the Fermi level = 5.948 states/eV/f.u.
SG = P4/mmm, No. 123

First-principles (GGA-PBEsol) data for a relaxed structure of MgCdCu, as listed in Alexandria via LeMat-Bulk.

a b c (Å): 3.3094 3.2675 5.1592
angles (deg): 108.46 108.71 90.00
With the nearest neighbours (Å) after each atom.
Positions (direct):
Mg  0.3210  0.3210  0.6421  4 Cu 2.72, 5 Cd 2.86-2.91
Cu  0.6682  0.6682  0.3364  4 Mg 2.72, 4 Cd 2.74
Cd  0.0108  0.0108  0.0215  4 Cu 2.74, 5 Mg 2.86-2.91

## Properties
Uncorrected energy = -2.47 eV/atom
Size of the total moment = 0.00 μB/f.u.
Formation energy = -50.7 meV/atom
Density of states at the Fermi level = 0.884 states/eV/f.u.
SG = Imm2, No. 44
Energy relative to the lowest polymorph listed for this composition = 0.000 eV/atom